RbCo2SCl | PBE | optimized geometry

Cell lengths 4.315, 6.726, 4.315 Å; angles 90.00, 90.00, 90.00 degrees
Fractional positions:
S1 0.000 0.500 0.000
Co1 0.000 0.000 0.500
Co2 0.500 0.000 0.000
Rb1 0.500 0.500 0.500
Cl1 0.000 0.000 0.000

**E_form (uncorrected)**: 0.591 eV/atom